Entry 1:
Below is an optimized crystal structure of TaBeRe2, with properties calculated at the PBE level.

a b c (Å): 2.9872 2.9872 6.4542
angles (deg): 90.00 90.00 90.00
With the nearest neighbours (Å) after each atom.
Fractional positions:
Ta (0.0000, 0.0000, 0.0000)  4 Be 2.67, 5 Re 2.89-2.95, 4 Ta 2.99
Be (0.5000, 0.5000, 0.2537)  4 Re 2.45, 4 Ta 2.67
Re (0.0000, 0.0000, 0.4470)  4 Be 2.45, 4 Re 2.60
Re (0.5000, 0.5000, 0.6809)  4 Re 2.60, 1 Be 2.76

Results
As for the formation energy: -1.6 kJ per mole of atoms. Its relative energy among the computed polymorphs is 0.88 kcal/mol of atoms. As for the crystal system: tetragonal. As for the theoretical density: 16.214 g/cm3.

Entry 2:
Below is an optimized crystal structure of TaBeRe, with properties calculated at the PBE level.

a b c (Å): 3.9756 3.9756 3.9756
angles (deg): 60.00 60.00 60.00
With the nearest neighbours (Å) after each atom.
Fractional positions:
Ta (0.0000, 0.0000, 0.0000)  4 Be 2.43
Be (0.2500, 0.2500, 0.2500)  4 Ta 2.43, 4 Re 2.43
Re (0.5000, 0.5000, 0.5000)  4 Be 2.43

Results
As for the formation energy: 29.0 kJ per mole of atoms. Its relative energy among the computed polymorphs is 14.86 kcal/mol of atoms. As for the crystal system: cubic. As for the theoretical density: 14.058 g/cm3.

Entry 3:
Below is an optimized crystal structure of TaBe3Re, with properties calculated at the PBE level.

a b c (Å): 4.0927 4.0927 4.0927
angles (deg): 90.00 90.00 90.00
With the nearest neighbours (Å) after each atom.
Fractional positions:
Ta (0.0000, 0.0000, 0.0000)  12 Be 2.89
Be (0.0000, 0.5000, 0.5000)  2 Re 2.05
Be (0.5000, 0.0000, 0.5000)  2 Re 2.05
Be (0.5000, 0.5000, 0.0000)  2 Re 2.05
Re (0.5000, 0.5000, 0.5000)  6 Be 2.05

Results
As for the formation energy: 85.5 kJ per mole of atoms. Its relative energy among the computed polymorphs is 0.00 kcal/mol of atoms. As for the crystal system: cubic. As for the theoretical density: 9.548 g/cm3.

Entry 4:
Below is an optimized crystal structure of TaBeRe2, with properties calculated at the PBE level.

a b c (Å): 8.7906 8.7906 8.7906
angles (deg): 18.25 18.25 18.25
With the nearest neighbours (Å) after each atom.
Fractional positions:
Ta (0.0000, 0.0000, 0.0000)  6 Ta 2.79, 6 Re 2.91
Be (0.5000, 0.5000, 0.5000)  6 Re 2.49, 6 Be 2.79
Re (0.2400, 0.2400, 0.2400)  3 Be 2.49, 6 Re 2.79
Re (0.7600, 0.7600, 0.7600)  3 Be 2.49, 6 Re 2.79

Results
As for the formation energy: 23.1 kJ per mole of atoms. Its relative energy among the computed polymorphs is 6.77 kcal/mol of atoms. As for the crystal system: trigonal. As for the theoretical density: 16.056 g/cm3.

Entry 5:
Below is an optimized crystal structure of TaBeRe, with properties calculated at the PBE level.

a b c (Å): 4.7297 4.7297 4.7297
angles (deg): 140.14 140.14 57.64
With the nearest neighbours (Å) after each atom.
Fractional positions:
Ta (0.0000, 0.0000, 0.0000)  5 Be 2.67-2.71, 5 Re 2.69-2.72
Be (0.3227, 0.3227, 0.0000)  5 Re 2.60-2.90, 5 Ta 2.67-2.71
Re (0.6723, 0.6723, 0.0000)  5 Be 2.60-2.90, 5 Ta 2.69-2.72

Results
As for the formation energy: -9.5 kJ per mole of atoms. Its relative energy among the computed polymorphs is 5.66 kcal/mol of atoms. As for the crystal system: tetragonal. As for the theoretical density: 14.497 g/cm3.

Entry 6:
Below is an optimized crystal structure of TaBeRe2, with properties calculated at the PBE level.

a b c (Å): 4.6513 4.6513 4.5496
angles (deg): 108.32 108.32 38.72
With the nearest neighbours (Å) after each atom.
Fractional positions:
Ta (0.0000, 0.0000, 0.0000)  6 Re 2.73-2.76, 4 Be 2.75
Be (0.5000, 0.5000, 0.5000)  4 Re 2.50, 4 Ta 2.75
Re (0.2340, 0.2340, 0.7187)  2 Be 2.50, 2 Re 2.61, 3 Ta 2.73-2.76
Re (0.7660, 0.7660, 0.2813)  2 Be 2.50, 2 Re 2.61, 3 Ta 2.73-2.76

Results
As for the formation energy: 0.7 kJ per mole of atoms. Its relative energy among the computed polymorphs is 1.43 kcal/mol of atoms. As for the crystal system: monoclinic. As for the theoretical density: 16.085 g/cm3.

Entry 7:
Below is an optimized crystal structure of TaBeRe, with properties calculated at the PBE level.

a b c (Å): 6.1553 5.9986 2.7436
angles (deg): 80.17 73.78 26.05
With the nearest neighbours (Å) after each atom.
Fractional positions:
Ta (0.0000, 0.0000, 0.0000)  2 Be 2.51, 4 Ta 2.74, 2 Re 2.80
Be (0.6616, 0.6616, 0.3384)  2 Re 2.36, 2 Ta 2.51
Re (0.3054, 0.3054, 0.6946)  2 Be 2.36

Results
As for the formation energy: 5.0 kJ per mole of atoms. Its relative energy among the computed polymorphs is 9.12 kcal/mol of atoms. As for the crystal system: orthorhombic. As for the theoretical density: 14.893 g/cm3.

Entry 8:
Below is an optimized crystal structure of TaBeRe2, with properties calculated at the PBE level.

a b c (Å): 2.7770 2.7770 7.3133
angles (deg): 90.00 90.00 90.00
With the nearest neighbours (Å) after each atom.
Fractional positions:
Ta (0.0000, 0.0000, 0.0000)  4 Ta 2.78, 8 Re 2.96
Be (0.0000, 0.0000, 0.5000)  8 Re 2.44
Re (0.5000, 0.5000, 0.3025)  4 Be 2.44
Re (0.5000, 0.5000, 0.6975)  4 Be 2.44

Results
As for the formation energy: 13.2 kJ per mole of atoms. Its relative energy among the computed polymorphs is 4.41 kcal/mol of atoms. As for the crystal system: tetragonal. As for the theoretical density: 16.558 g/cm3.

Entry 9:
Below is an optimized crystal structure of TaBeRe, with properties calculated at the PBE level.

a b c (Å): 4.7869 4.7869 4.7869
angles (deg): 147.56 131.28 59.75
With the nearest neighbours (Å) after each atom.
Fractional positions:
Ta (0.0000, 0.0000, 0.0000)  5 Re 2.66-2.81, 2 Ta 2.67, 5 Be 2.68-2.80
Be (0.3234, 0.3234, 0.0000)  5 Re 2.67-2.96, 2 Be 2.67, 5 Ta 2.68-2.80
Re (0.6796, 0.6796, 0.0000)  5 Ta 2.66-2.81, 5 Be 2.67-2.96, 2 Re 2.67

Results
As for the formation energy: 7.4 kJ per mole of atoms. Its relative energy among the computed polymorphs is 9.70 kcal/mol of atoms. As for the crystal system: orthorhombic. As for the theoretical density: 14.251 g/cm3.

Entry 10:
Below is an optimized crystal structure of TaBeRe2, with properties calculated at the PBE level.

a b c (Å): 3.1787 3.1787 5.7058
angles (deg): 90.00 90.00 90.00
With the nearest neighbours (Å) after each atom.
Fractional positions:
Ta (0.0000, 0.0000, 0.0000)  8 Re 2.76, 2 Be 2.85
Be (0.0000, 0.0000, 0.5000)  8 Re 2.57, 2 Ta 2.85
Re (0.5000, 0.5000, 0.2800)  1 Re 2.51, 4 Be 2.57, 4 Ta 2.76
Re (0.5000, 0.5000, 0.7200)  1 Re 2.51, 4 Be 2.57, 4 Ta 2.76

Results
As for the formation energy: -5.2 kJ per mole of atoms. Its relative energy among the computed polymorphs is 0.00 kcal/mol of atoms. As for the crystal system: tetragonal. As for the theoretical density: 16.198 g/cm3.

Entry 11:
Below is an optimized crystal structure of TaBeRe, with properties calculated at the PBE level.

a b c (Å): 11.4837 3.2109 6.6785
angles (deg): 90.00 90.00 90.00
With the nearest neighbours (Å) after each atom.
Fractional positions:
Ta (0.0526, 0.0000, 0.2464)  5 Be 2.63-2.64, 6 Re 2.78-2.83
Ta (0.2500, 0.0000, 0.6585)  5 Be 2.55-2.59, 4 Re 2.79
Ta (0.4474, 0.0000, 0.2464)  5 Be 2.63-2.64, 6 Re 2.78-2.83
Ta (0.5526, 0.0000, 0.7536)  5 Be 2.63-2.64, 6 Re 2.78-2.83
Ta (0.7500, 0.0000, 0.3415)  5 Be 2.55-2.59, 4 Re 2.79
Ta (0.9474, 0.0000, 0.7536)  5 Be 2.63-2.64, 6 Re 2.78-2.83
Be (0.0882, 0.5000, 0.5535)  1 Be 2.15
Be (0.2500, 0.0000, 0.0465)  6 Re 2.35, 1 Ta 2.59
Be (0.4118, 0.5000, 0.5535)  1 Be 2.15
Be (0.5882, 0.5000, 0.4465)  1 Be 2.15
Be (0.7500, 0.0000, 0.9535)  6 Re 2.35, 1 Ta 2.59
Be (0.9118, 0.5000, 0.4465)  1 Be 2.15
Re (0.1205, 0.5000, 0.9176)  3 Be 2.35-2.46
Re (0.2500, 0.5000, 0.3028)  4 Be 2.35-2.50
Re (0.3795, 0.5000, 0.9176)  3 Be 2.35-2.46
Re (0.6205, 0.5000, 0.0824)  3 Be 2.35-2.46
Re (0.7500, 0.5000, 0.6972)  4 Be 2.35-2.50
Re (0.8795, 0.5000, 0.0824)  3 Be 2.35-2.46

Results
As for the formation energy: -33.2 kJ per mole of atoms. Its relative energy among the computed polymorphs is 0.00 kcal/mol of atoms. As for the crystal system: orthorhombic. As for the theoretical density: 15.219 g/cm3.

Entry 12:
Below is an optimized crystal structure of TaBeRe2, with properties calculated at the PBE level.

a b c (Å): 3.3428 4.1533 4.1842
angles (deg): 90.00 90.00 90.00
With the nearest neighbours (Å) after each atom.
Fractional positions:
Ta (0.0000, 0.0000, 0.0000)  8 Re 2.67-2.95, 4 Be 2.68
Be (0.5000, 0.0000, 0.5000)  8 Re 2.67-2.95, 4 Ta 2.68
Re (0.0000, 0.5000, 0.5000)  4 Be 2.67, 4 Re 2.68, 4 Ta 2.95
Re (0.5000, 0.5000, 0.0000)  4 Ta 2.67, 4 Re 2.68, 4 Be 2.95

Results
As for the formation energy: 7.1 kJ per mole of atoms. Its relative energy among the computed polymorphs is 2.95 kcal/mol of atoms. As for the crystal system: orthorhombic. As for the theoretical density: 16.075 g/cm3.

Entry 13:
Below is an optimized crystal structure of TaBeRe, with properties calculated at the PBE level.

a b c (Å): 5.8792 5.8792 5.8792
angles (deg): 152.99 152.99 38.56
With the nearest neighbours (Å) after each atom.
Fractional positions:
Ta (0.0000, 0.0000, 0.0000)  4 Be 2.62, 4 Ta 2.75
Be (0.6591, 0.6591, 0.0000)  4 Re 2.47, 4 Ta 2.62, 4 Be 2.75
Re (0.2960, 0.2960, 0.0000)  4 Be 2.47, 4 Re 2.75

Results
As for the formation energy: 13.2 kJ per mole of atoms. Its relative energy among the computed polymorphs is 11.08 kcal/mol of atoms. As for the crystal system: tetragonal. As for the theoretical density: 14.933 g/cm3.

Entry 14:
Below is an optimized crystal structure of TaBeRe, with properties calculated at the PBE level.

a b c (Å): 4.3349 4.3349 2.6996
angles (deg): 90.00 90.00 120.00
With the nearest neighbours (Å) after each atom.
Fractional positions:
Ta (0.0000, 0.0000, 0.0000)  3 Re 2.67, 2 Ta 2.70, 6 Be 2.73-2.97
Be (0.6667, 0.3333, 0.4048)  3 Re 2.59, 2 Be 2.70, 3 Ta 2.73
Re (0.3333, 0.6667, 0.6576)  3 Be 2.59, 3 Ta 2.67, 2 Re 2.70

Results
As for the formation energy: 0.0 kJ per mole of atoms. Its relative energy among the computed polymorphs is 7.93 kcal/mol of atoms. As for the crystal system: trigonal. As for the theoretical density: 14.219 g/cm3.